Entry 1:
Pr4TmCd2 | GGA-PBE | optimized geometry

The structure belongs to space group Imma (No. 74); the cell edges are 6.611, 11.184 and 12.531 Å and the angles 90.00°, 90.00° and 90.00°. The asymmetric unit holds Pr at (0.000, 0.009, 0.150), Pr at (0.239, 0.250, 0.999), Tm at (0.000, 0.250, 0.723), Cd at (0.000, 0.000, 0.500) and Cd at (0.250, 0.250, 0.250).

Its energy relative to the lowest polymorph listed for this composition is 6.5 kJ per mole of atoms. Its crystal system is orthorhombic. As for the total DFT energy (no corrections): -3.565 eV per atom. The energy relative to the elements comes out at 0.07 eV/atom. For the total moment, the calculation gives 0.0 μB per formula unit.

***

Entry 2:
Sr2PbSe | GGA-PBE | optimized geometry

The structure belongs to space group P4/mmm (No. 123); the cell edges are 3.800, 3.800 and 8.672 Å and the angles 90.00°, 90.00° and 90.00°. The asymmetric unit holds Sr at (0.000, 0.000, 0.217), Pb at (0.500, 0.500, 0.500) and Se at (0.500, 0.500, 0.000).

Its energy relative to the lowest polymorph listed for this composition is 5.9 kJ per mole of atoms. Its crystal system is tetragonal. As for the total DFT energy (no corrections): -3.778 eV per atom. For the total moment, the calculation gives 0.0 μB per formula unit.

***

Entry 3:
CeEr2Mg5 | GGA-PBE | optimized geometry

The structure belongs to space group I4/mmm (No. 139); the cell edges are 5.280, 5.280 and 14.889 Å and the angles 90.00°, 90.00° and 90.00°. The asymmetric unit holds Ce at (0.000, 0.000, 0.000), Er at (0.000, 0.000, 0.258), Mg at (0.000, 0.000, 0.500) and Mg at (0.000, 0.500, 0.123).

Its crystal system is tetragonal. As for the total DFT energy (no corrections): -2.912 eV per atom. The energy relative to the elements comes out at -0.03 eV/atom. For the total moment, the calculation gives 1.2 μB per formula unit.

***

no.,N(E_F) (states/eV per atom)
1,1.137
2,0.232
3,1.178